Record 1
Here is crystalline ScAlIrRh at its relaxed geometry from Alexandria. Energies are from GGA-PBE.

a = 6.239 Å, b = 6.239 Å, c = 6.239 Å
α = 90.00°, β = 90.00°, γ = 90.00°
Space group F-43m (No. 216)
One atom of each set of equivalent atoms:
1 Sc 0.000 0.000 0.000 (multiplicity 4)
2 Al 0.000 0.000 0.500 (multiplicity 4)
3 Ir 0.250 0.250 0.250 (multiplicity 4)
4 Rh 0.250 0.250 0.750 (multiplicity 4)

raw total energy = -121.94 eV for the cell shown

Record 2
Here is crystalline AlSiIrRh at its relaxed geometry from Alexandria. Energies are from GGA-PBE.

a = 6.002 Å, b = 6.002 Å, c = 6.002 Å
α = 90.00°, β = 90.00°, γ = 90.00°
Space group F-43m (No. 216)
One atom of each set of equivalent atoms:
1 Al 0.000 0.000 0.000 (multiplicity 4)
2 Si 0.000 0.000 0.500 (multiplicity 4)
3 Ir 0.250 0.250 0.250 (multiplicity 4)
4 Rh 0.250 0.250 0.750 (multiplicity 4)

formation energy without anion corrections = -705 meV per atom